[1]
# TlC2

A relaxed TlC2 crystal (PBE-GGA, the Alexandria database).

extended XYZ file:
```
6
Lattice="-1.312 3.473 5.303 1.312 -3.473 5.303 1.312 3.473 -5.303" Properties=species:S:1:pos:R:3 pbc="T T T"
C 0.000 2.056 0.000
Tl 0.000 3.473 3.657
C 0.000 0.740 5.303
Tl 1.312 0.000 1.646
C 1.312 2.733 0.000
C 0.000 4.890 0.000
```

Properties
Calculated volume, Å³/f.u.: 48.3
Total moment, μB/atom: 0.0000
Energy of formation from the pure elements, eV per atom: 0.911
Electronic total energy, Ry per atom: -0.4430
D(E_F), states/eV/cell: 1.23
Symmetry: Immm


[2]
# HoScAg

A relaxed HoScAg crystal (PBE-GGA, the Alexandria database).

extended XYZ file:
```
12
Lattice="6.882 0.087 -0.004 -0.122 6.881 0.004 -3.375 -3.489 6.848" Properties=species:S:1:pos:R:3 pbc="T T T"
Ho 3.645 3.227 5.085
Sc 0.266 -0.258 5.177
Ho 0.205 3.182 5.188
Ho 0.264 -0.256 1.762
Sc 3.705 -0.212 1.752
Ag 1.931 4.965 3.426
Sc 3.707 -0.214 5.092
Ho 0.202 3.185 1.663
Ag -1.385 -1.962 6.848
Sc 3.643 3.229 1.670
Ag 5.294 4.933 0.000
Ag -1.524 1.403 3.426
```

Properties
Calculated volume, Å³/f.u.: 81.1
Total moment, μB/atom: 0.0000
Energy of formation from the pure elements, eV per atom: 0.088
Electronic total energy, Ry per atom: -0.3307
D(E_F), states/eV/cell: 17.16
Symmetry: Fddd


[3]
# InBi2C

A relaxed InBi2C crystal (PBE-GGA, the Alexandria database).

extended XYZ file:
```
4
Lattice="0.000 3.620 3.620 3.620 0.000 3.620 3.620 3.620 0.000" Properties=species:S:1:pos:R:3 pbc="T T T"
Bi 5.430 5.430 5.430
Bi 1.810 1.810 1.810
C 0.000 0.000 0.000
In 3.620 3.620 3.620
```

Properties
Calculated volume, Å³/f.u.: 94.9
Total moment, μB/atom: 0.0000
Energy of formation from the pure elements, eV per atom: 1.403
Electronic total energy, Ry per atom: -0.2593
D(E_F), states/eV/cell: 2.18
Symmetry: Fm-3m


[4]
# NaTePN2

A relaxed NaTePN2 crystal (PBE-GGA, the Alexandria database).

extended XYZ file:
```
5
Lattice="-0.401 -2.840 -3.071 -2.600 -2.247 2.418 -4.780 3.109 -2.251" Properties=species:S:1:pos:R:3 pbc="T T T"
Na 0.000 0.000 0.000
N -0.201 -1.420 -1.535
N -1.300 -1.123 1.209
Te -2.390 1.555 -1.126
P -3.891 -0.989 -1.452
```

Properties
Calculated volume, Å³/f.u.: 108.3
Total moment, μB/atom: 0.1823
Uncorrected formation energy, kJ per mole of atoms: 230
Electronic total energy, Ry per atom: -0.2148
D(E_F), states/eV/cell: 4.49
Symmetry: P4/mmm


[5]
# Cu3PPb

A relaxed Cu3PPb crystal (PBE-GGA, the Alexandria database).

extended XYZ file:
```
5
Lattice="-2.560 -3.690 -0.129 3.593 -2.526 0.945 -0.848 0.436 4.390" Properties=species:S:1:pos:R:3 pbc="T T T"
Pb 0.093 -2.890 2.603
Cu 1.797 -1.263 0.473
P 0.000 0.000 0.000
Cu -1.280 -1.845 -0.064
Cu -0.424 0.218 2.195
```

Properties
Calculated volume, Å³/f.u.: 90.7
Total moment, μB/atom: 0.0000
Energy of formation from the pure elements, eV per atom: 0.214
Electronic total energy, Ry per atom: -0.2989
D(E_F), states/eV/cell: 2.29
Symmetry: Pm-3m


[6]
# K4Mn

A relaxed K4Mn crystal (PBE-GGA, the Alexandria database).

extended XYZ file:
```
5
Lattice="-2.649 2.649 11.266 2.649 -2.649 11.266 2.649 2.649 -11.266" Properties=species:S:1:pos:R:3 pbc="T T T"
K 0.000 0.000 13.149
K 0.000 2.649 5.633
Mn 0.000 0.000 0.000
K 0.000 0.000 9.383
K 2.649 0.000 5.633
```

Properties
Calculated volume, Å³/f.u.: 316.1
Total moment, μB/atom: 0.9325
Energy of formation from the pure elements, eV per atom: 0.673
Electronic total energy, Ry per atom: -0.1499
D(E_F), states/eV/cell: 6.01
Symmetry: I4/mmm


[7]
# Rb4Zr3CoS8

A relaxed Rb4Zr3CoS8 crystal (PBE-GGA, the Alexandria database).

extended XYZ file:
```
16
Lattice="-5.730 -1.643 -4.714 4.701 -6.652 -3.396 -1.082 -0.248 7.527" Properties=species:S:1:pos:R:3 pbc="T T T"
Rb -0.541 -0.124 3.763
S 1.423 -5.033 0.024
S 0.880 -5.155 3.814
Rb 0.000 0.000 0.000
S -0.103 -2.560 -2.022
Zr -0.515 -4.147 -4.055
Rb -3.406 -0.945 1.406
Rb -2.865 -0.821 -2.357
S -2.008 -5.983 1.438
Zr 1.810 -3.450 2.065
Zr -1.055 -4.271 -0.292
S -2.991 -3.388 -4.398
S -1.433 -5.916 -2.323
Co 2.350 -3.326 -1.698
S -0.678 -2.627 1.739
S -3.534 -3.510 -0.607
```

Properties
Calculated volume, Å³/f.u.: 383.2
Total moment, μB/atom: 0.1392
Uncorrected formation energy, kJ per mole of atoms: -120
Electronic total energy, Ry per atom: -0.4114
D(E_F), states/eV/cell: 9.03
Symmetry: C2/m


[8]
# Nd2AgBi

A relaxed Nd2AgBi crystal (PBE-GGA, the Alexandria database).

extended XYZ file:
```
4
Lattice="-2.409 -0.777 -3.783 -0.211 -4.200 -1.742 -6.749 -3.032 2.181" Properties=species:S:1:pos:R:3 pbc="T T T"
Ag 0.000 0.000 0.000
Nd -7.078 -6.019 -2.473
Bi -4.684 -4.005 -1.672
Nd -2.291 -1.990 -0.871
```

Properties
Calculated volume, Å³/f.u.: 130.1
Total moment, μB/atom: 0.0006
Energy of formation from the pure elements, eV per atom: -0.435
Electronic total energy, Ry per atom: -0.3309
D(E_F), states/eV/cell: 5.44
Symmetry: R-3m


[9]
# BaVInAg2

A relaxed BaVInAg2 crystal (PBE-GGA, the Alexandria database).

extended XYZ file:
```
5
Lattice="-0.529 -5.103 1.299 4.320 -1.157 -2.787 2.985 0.785 4.300" Properties=species:S:1:pos:R:3 pbc="T T T"
Ag -0.264 -2.552 0.649
In 2.160 -0.579 -1.394
Ba 3.388 -2.738 1.406
V 0.000 0.000 0.000
Ag 1.492 0.392 2.150
```

Properties
Calculated volume, Å³/f.u.: 147.6
Total moment, μB/atom: 0.7019
Energy of formation from the pure elements, eV per atom: 0.308
Electronic total energy, Ry per atom: -0.2638
D(E_F), states/eV/cell: 4.25
Symmetry: P4/mmm


[10]
# La2Cd2Ge4Pd

A relaxed La2Cd2Ge4Pd crystal (PBE-GGA, the Alexandria database).

extended XYZ file:
```
9
Lattice="6.530 -0.286 -0.451 -2.885 5.865 0.451 -2.885 -2.096 5.497" Properties=species:S:1:pos:R:3 pbc="T T T"
Cd -4.062 2.654 4.188
Ge 1.975 0.866 1.367
La 0.380 -0.249 4.010
Ge -1.214 2.617 4.130
Ge -2.885 3.709 1.818
Cd -1.707 1.115 1.759
Pd 0.000 0.000 0.000
Ge -2.885 0.060 4.130
La 0.380 3.732 1.487
```

Properties
Calculated volume, Å³/f.u.: 202.2
Total moment, μB/atom: 0.0000
Energy of formation from the pure elements, eV per atom: -0.502
Electronic total energy, Ry per atom: -0.3256
D(E_F), states/eV/cell: 3.38
Symmetry: I4/mmm


[11]
# Pr2TmCu9

A relaxed Pr2TmCu9 crystal (PBE-GGA, the Alexandria database).

extended XYZ file:
```
12
Lattice="5.177 0.000 0.000 2.589 4.484 0.000 2.589 1.495 8.550" Properties=species:S:1:pos:R:3 pbc="T T T"
Cu 6.461 2.248 2.021
Cu 6.461 3.730 6.529
Pr 7.766 4.484 3.567
Cu 5.177 4.472 2.021
Cu 7.766 4.484 8.521
Cu 2.589 1.495 0.029
Cu 3.893 2.248 2.021
Cu 5.177 2.989 4.275
Tm 0.000 0.000 0.000
Cu 3.893 3.730 6.529
Pr 2.589 1.495 4.983
Cu 5.177 1.506 6.529
```

Properties
Calculated volume, Å³/f.u.: 198.5
Total moment, μB/atom: 0.0000
Energy of formation from the pure elements, eV per atom: -0.138
Electronic total energy, Ry per atom: -0.3219
D(E_F), states/eV/cell: 7.69
Symmetry: R-3m


[12]
# AcIn3Pd

A relaxed AcIn3Pd crystal (PBE-GGA, the Alexandria database).

extended XYZ file:
```
20
Lattice="4.612 0.000 0.000 0.000 9.313 0.000 0.000 0.000 12.044" Properties=species:S:1:pos:R:3 pbc="T T T"
Pd 1.153 5.617 10.324
Ac 3.459 7.558 0.070
Pd 3.459 8.352 4.302
In 3.459 1.053 2.468
Ac 3.459 2.902 5.952
Pd 3.459 3.696 1.720
In 3.459 5.948 8.609
Ac 1.153 1.754 11.974
In 1.153 8.021 2.587
In 1.153 8.260 9.576
In 3.459 8.739 7.077
In 1.153 3.365 3.435
Pd 1.153 0.961 7.742
In 3.459 4.083 10.989
In 3.459 1.291 9.457
Ac 1.153 6.411 6.092
In 1.153 5.230 1.055
In 3.459 5.709 3.554
In 1.153 0.573 4.967
In 1.153 3.603 8.490
```

Properties
Calculated volume, Å³/f.u.: 129.3
Total moment, μB/atom: 0.0000
Energy of formation from the pure elements, eV per atom: -0.540
Electronic total energy, Ry per atom: -0.2972
D(E_F), states/eV/cell: 9.15
Symmetry: Pnma


Among the records above, which one has the lowest electronic total energy?
TlC2


Repeat the fifth record exactly.
# Cu3PPb

A relaxed Cu3PPb crystal (PBE-GGA, the Alexandria database).

extended XYZ file:
```
5
Lattice="-2.560 -3.690 -0.129 3.593 -2.526 0.945 -0.848 0.436 4.390" Properties=species:S:1:pos:R:3 pbc="T T T"
Pb 0.093 -2.890 2.603
Cu 1.797 -1.263 0.473
P 0.000 0.000 0.000
Cu -1.280 -1.845 -0.064
Cu -0.424 0.218 2.195
```

Properties
Calculated volume, Å³/f.u.: 90.7
Total moment, μB/atom: 0.0000
Energy of formation from the pure elements, eV per atom: 0.214
Electronic total energy, Ry per atom: -0.2989
D(E_F), states/eV/cell: 2.29
Symmetry: Pm-3m